No. 1
Computed, not measured: crystalline PrMgAgSn at its relaxed geometry at the GGA-PBE level of DFT.

Calculated values
Size of the total moment (μB per formula unit): 0.00
Formation energy (eV per atom): -0.40

Unit cell a=5.196 b=5.196 c=5.196 alpha=60.00 beta=60.00 gamma=60.00
Fractional coordinates of all 4 atoms:
1 Pr 0.000 0.000 0.000
2 Mg 0.500 0.500 0.500
3 Sn 0.250 0.250 0.250
4 Ag 0.750 0.750 0.750

---

No. 2
Computed, not measured: crystalline PrMgTlAg at its relaxed geometry at the GGA-PBE level of DFT.

Calculated values
Size of the total moment (μB per formula unit): 0.00
Formation energy (eV per atom): -0.31

Unit cell a=5.198 b=5.198 c=5.198 alpha=60.00 beta=60.00 gamma=60.00
Fractional coordinates of all 4 atoms:
1 Pr 0.000 0.000 0.000
2 Tl 0.750 0.750 0.750
3 Mg 0.500 0.500 0.500
4 Ag 0.250 0.250 0.250

---

No. 3
Computed, not measured: crystalline PrMg2Tl2Ag2 at its relaxed geometry at the GGA-PBE level of DFT.

Calculated values
Size of the total moment (μB per formula unit): 0.00
Formation energy (eV per atom): -0.16

Unit cell a=4.932 b=4.932 c=8.624 alpha=73.38 beta=73.38 gamma=60.00
Fractional coordinates of all 7 atoms:
1 Pr 0.000 0.000 0.000
2 Mg 0.135 0.135 0.595
3 Mg 0.865 0.865 0.405
4 Tl 0.599 0.599 0.203
5 Tl 0.401 0.401 0.797
6 Ag 0.751 0.751 0.748
7 Ag 0.249 0.249 0.252

---

No. 4
Computed, not measured: crystalline PrTmMg2Ag4 at its relaxed geometry at the GGA-PBE level of DFT.

Calculated values
Size of the total moment (μB per formula unit): 0.00
Formation energy (eV per atom): -0.28

Unit cell a=4.989 b=4.989 c=8.681 alpha=73.30 beta=73.30 gamma=60.00
Fractional coordinates of all 8 atoms:
1 Pr 0.000 0.000 0.000
2 Tm 0.500 0.500 0.500
3 Mg 0.751 0.751 0.747
4 Mg 0.249 0.249 0.253
5 Ag 0.380 0.380 0.859
6 Ag 0.871 0.871 0.387
7 Ag 0.129 0.129 0.613
8 Ag 0.620 0.620 0.141

---

| no. | DOS(E_F) (states/eV per cell) | theoretical density (g/cm3) |
| --- | --- | --- |
| 1 | 1.7 | 6.56 |
| 2 | 1.6 | 7.98 |
| 3 | 4.1 | 7.88 |
| 4 | 6.4 | 7.43 |